1.
Below is crystalline BeInCuHg2 at its relaxed geometry, with properties calculated at the PBE-GGA level.

Lattice parameters (Å, degrees): 5.067 5.067 5.031 90.00 90.00 90.00
Space group P4/mmm (No. 123)
Inequivalent atoms, fractional coordinates:
Be (0.000, 0.000, 0.000) (multiplicity 1)
In (0.500, 0.500, 0.000) (multiplicity 1)
Cu (0.500, 0.500, 0.500) (multiplicity 1)
Hg (0.000, 0.500, 0.500) (multiplicity 2)

mass density = 7.6 Mg/m³
calculated volume = 25.84 A^3/atom
formation enthalpy at 0 K = 0.685 eV/atom
electronic total energy = -1.548 eV per atom
Fermi-level density of states = 2.211 states/eV/cell

=====

2.
Below is crystalline La2BeCuHg at its relaxed geometry, with properties calculated at the PBE-GGA level.

Lattice parameters (Å, degrees): 5.480 5.480 4.849 90.00 90.00 90.00
Space group P4/mmm (No. 123)
Inequivalent atoms, fractional coordinates:
La (0.000, 0.500, 0.000) (multiplicity 2)
Be (0.000, 0.000, 0.500) (multiplicity 1)
Cu (0.500, 0.500, 0.000) (multiplicity 1)
Hg (0.500, 0.500, 0.500) (multiplicity 1)

energy above the most stable polymorph in this dataset = 0.0 meV/atom
mass density = 6.3 Mg/m³
calculated volume = 29.13 A^3/atom
formation enthalpy at 0 K = 0.375 eV/atom
electronic total energy = -3.221 eV per atom
Fermi-level density of states = 6.123 states/eV/cell

=====

3.
Below is crystalline NaBeCuHg2 at its relaxed geometry, with properties calculated at the PBE-GGA level.

Lattice parameters (Å, degrees): 5.491 5.491 5.142 90.00 90.00 90.00
Space group P4/mmm (No. 123)
Inequivalent atoms, fractional coordinates:
Na (0.000, 0.000, 0.000) (multiplicity 1)
Be (0.000, 0.000, 0.500) (multiplicity 1)
Cu (0.500, 0.500, 0.500) (multiplicity 1)
Hg (0.000, 0.500, 0.000) (multiplicity 2)

mass density = 5.3 Mg/m³
calculated volume = 31.00 A^3/atom
formation enthalpy at 0 K = 1.135 eV/atom
electronic total energy = -0.814 eV per atom
Fermi-level density of states = 1.640 states/eV/cell